Computed, not measured: a relaxed structure of MgReIr2 at the PBE-GGA level of DFT.

Unit cell a=9.3399 b=2.7879 c=4.7155 alpha=90.00 beta=100.43 gamma=90.00
Space group Cm (No. 8)
Asymmetric unit:
1 Mg 0.0000 0.0000 0.0000 [2 per cell]
2 Re 0.2293 0.0000 0.6728 [2 per cell]
3 Ir 0.2520 0.5000 0.1731 [2 per cell]
4 Ir 0.4886 0.0000 0.5015 [2 per cell]

## Properties
* ΔE_f: -0.14 eV/atom
* E_tot: -8.086 eV/atom

=====

Computed, not measured: a relaxed structure of MgReIr2 at the PBE-GGA level of DFT.

Unit cell a=5.7029 b=7.5212 c=2.7826 alpha=90.00 beta=90.00 gamma=90.00
Space group Cmmm (No. 65)
Asymmetric unit:
1 Mg 0.0000 0.0000 0.0000 [2 per cell]
2 Re 0.0000 0.5000 0.0000 [2 per cell]
3 Ir 0.2500 0.2500 0.5000 [4 per cell]

## Properties
* ΔE_f: -0.15 eV/atom
* E_tot: -8.090 eV/atom

=====

Computed, not measured: a relaxed structure of MgRe2Ir at the PBE-GGA level of DFT.

Unit cell a=3.0354 b=4.2936 c=4.6286 alpha=90.00 beta=90.00 gamma=90.00
Space group Pmmm (No. 47)
Asymmetric unit:
1 Mg 0.0000 0.0000 0.0000 [1 per cell]
2 Re 0.0000 0.5000 0.5000 [1 per cell]
3 Re 0.5000 0.0000 0.5000 [1 per cell]
4 Ir 0.5000 0.5000 0.0000 [1 per cell]

## Properties
* ΔE_f: 0.12 eV/atom
* E_tot: -8.722 eV/atom

=====

Computed, not measured: a relaxed structure of MgRe2Ir at the PBE-GGA level of DFT.

Unit cell a=3.0460 b=3.0460 c=6.5711 alpha=90.00 beta=90.00 gamma=90.00
Space group P4mm (No. 99)
Asymmetric unit:
1 Mg 0.0000 0.0000 0.0000 [1 per cell]
2 Re 0.0000 0.0000 0.4906 [1 per cell]
3 Re 0.5000 0.5000 0.2698 [1 per cell]
4 Ir 0.5000 0.5000 0.7583 [1 per cell]

## Properties
* ΔE_f: 0.06 eV/atom
* E_tot: -8.777 eV/atom

=====

Computed, not measured: a relaxed structure of MgRe2Ir at the PBE-GGA level of DFT.

Unit cell a=2.9328 b=4.6170 c=9.1189 alpha=90.00 beta=90.00 gamma=90.00
Space group Cmm2 (No. 35)
Asymmetric unit:
1 Mg 0.0000 0.0000 0.0000 [2 per cell]
2 Re 0.0000 0.0000 0.5029 [2 per cell]
3 Re 0.0000 0.5000 0.2636 [2 per cell]
4 Ir 0.0000 0.5000 0.7553 [2 per cell]

## Properties
* ΔE_f: 0.18 eV/atom
* E_tot: -8.656 eV/atom

=====

Computed, not measured: a relaxed structure of MgRe2Ir at the PBE-GGA level of DFT.

Unit cell a=3.0323 b=4.5620 c=8.7986 alpha=90.00 beta=90.00 gamma=90.00
Space group Imm2 (No. 44)
Asymmetric unit:
1 Mg 0.0000 0.0000 0.0000 [2 per cell]
2 Re 0.0000 0.0000 0.4924 [2 per cell]
3 Re 0.0000 0.5000 0.7600 [2 per cell]
4 Ir 0.0000 0.5000 0.2495 [2 per cell]

## Properties
* ΔE_f: 0.22 eV/atom
* E_tot: -8.618 eV/atom